Record 1
## CoPtSe2 (GGA-PBE)

Data for CoPtSe2 after structural relaxation.

Summary:
Fermi-level density of states, states/eV per cell: 5.418
Total DFT energy (no corrections), eV per formula unit: -18.45
ΔE_f (raw), eV/atom: 0.42

Cell lengths 3.4891, 7.0576, 3.5138 Å; angles 90.00, 90.00, 90.00 degrees
Fractional positions:
Co: 0.5000 0.0000 0.5000
Pt: 0.0000 0.5000 0.5000
Se: 0.0000 0.0000 0.0000
Se: 0.5000 0.5000 0.0000

***

Record 2
## Co2PtSe (GGA-PBE)

Data for Co2PtSe after structural relaxation.

Summary:
Fermi-level density of states, states/eV per cell: 6.263
Total DFT energy (no corrections), eV per formula unit: -23.05
ΔE_f (raw), eV/atom: 0.17

Cell lengths 2.8943, 2.8943, 6.4060 Å; angles 90.00, 90.00, 89.99 degrees
Fractional positions:
Co: 0.0000 0.0000 0.9747
Co: 0.0000 0.0000 0.5253
Pt: 0.5000 0.5000 0.2500
Se: 0.5000 0.5000 0.7500

***

Record 3
## CoPtSe2 (GGA-PBE)

Data for CoPtSe2 after structural relaxation.

Summary:
Fermi-level density of states, states/eV per cell: 5.113
Total DFT energy (no corrections), eV per formula unit: -19.81
ΔE_f (raw), eV/atom: 0.08

Cell lengths 3.6690, 6.3914, 5.2054 Å; angles 34.92, 90.00, 90.00 degrees
Fractional positions:
Co: 0.5000 0.5000 0.5000
Pt: 0.0000 0.0000 0.5000
Se: 0.0000 0.0000 0.0000
Se: 0.5000 0.5000 0.0000

***

Record 4
## CoPt2Se6 (GGA-PBE)

Data for CoPt2Se6 after structural relaxation.

Summary:
Fermi-level density of states, states/eV per cell: 2.946
Total DFT energy (no corrections), eV per formula unit: -43.10
ΔE_f (raw), eV/atom: -0.33

Cell lengths 3.7453, 5.9368, 11.0350 Å; angles 118.14, 90.00, 108.39 degrees
Fractional positions:
Co: 0.0000 0.0000 0.5000
Pt: 0.6616 0.3233 0.8286
Pt: 0.3384 0.6767 0.1714
Se: 0.9909 0.9819 0.7108
Se: 0.6662 0.3325 0.0608
Se: 0.3338 0.6675 0.9392
Se: 0.6539 0.3077 0.5973
Se: 0.3461 0.6923 0.4027
Se: 0.0091 0.0181 0.2892

***

Record 5
## CoPt4Se (GGA-PBE)

Data for CoPt4Se after structural relaxation.

Summary:
Fermi-level density of states, states/eV per cell: 7.871
Total DFT energy (no corrections), eV per formula unit: -31.84
ΔE_f (raw), eV/atom: 0.49

Cell lengths 5.2716, 5.2716, 5.2716 Å; angles 60.00, 60.00, 60.00 degrees
Fractional positions:
Co: 0.0000 0.0000 0.0000
Pt: 0.8754 0.3749 0.3749
Pt: 0.3749 0.3749 0.8754
Pt: 0.3749 0.8754 0.3749
Pt: 0.3749 0.3749 0.3749
Se: 0.7500 0.7500 0.7500

***

Record 6
## Co2PtSe (GGA-PBE)

Data for Co2PtSe after structural relaxation.

Summary:
Fermi-level density of states, states/eV per cell: 3.753
Total DFT energy (no corrections), eV per formula unit: -22.79
ΔE_f (raw), eV/atom: 0.24

Cell lengths 4.5478, 4.5478, 4.5478 Å; angles 132.95, 124.45, 75.70 degrees
Fractional positions:
Co: 0.9762 0.9762 0.0000
Co: 0.5238 0.5238 0.0000
Pt: 0.2500 0.7500 0.5000
Se: 0.7500 0.2500 0.5000

***

Record 7
## Co2PtSe (GGA-PBE)

Data for Co2PtSe after structural relaxation.

Summary:
Fermi-level density of states, states/eV per cell: 4.061
Total DFT energy (no corrections), eV per formula unit: -23.09
ΔE_f (raw), eV/atom: 0.16

Cell lengths 4.4733, 4.4733, 4.6681 Å; angles 82.60, 82.60, 37.17 degrees
Fractional positions:
Co: 0.9933 0.9933 0.0052
Co: 0.2568 0.2568 0.2113
Pt: 0.5108 0.5108 0.4744
Se: 0.7390 0.7390 0.8091

***

Record 8
## Co2PtSe (GGA-PBE)

Data for Co2PtSe after structural relaxation.

Summary:
Fermi-level density of states, states/eV per cell: 12.169
Total DFT energy (no corrections), eV per formula unit: -21.81
ΔE_f (raw), eV/atom: 0.48

Cell lengths 5.6182, 5.6182, 6.2557 Å; angles 63.32, 63.32, 90.00 degrees
Fractional positions:
Co: 0.6123 0.1250 0.2500
Co: 0.1377 0.6250 0.2500
Co: 0.3750 0.3877 0.7500
Co: 0.8750 0.8623 0.7500
Se: 0.5000 0.5000 0.0000
Se: 0.2500 0.7500 0.5000
Pt: 0.0000 0.0000 0.0000
Pt: 0.7500 0.2500 0.5000

***

Record 9
## Co2PtSe (GGA-PBE)

Data for Co2PtSe after structural relaxation.

Summary:
Fermi-level density of states, states/eV per cell: 5.340
Total DFT energy (no corrections), eV per formula unit: -22.76
ΔE_f (raw), eV/atom: 0.24

Cell lengths 5.1478, 5.1478, 5.1478 Å; angles 146.83, 131.13, 60.35 degrees
Fractional positions:
Co: 0.9773 0.9773 0.0000
Co: 0.2425 0.7425 0.5000
Pt: 0.5166 0.5166 0.0000
Se: 0.7636 0.2636 0.5000

***

Record 10
## Co3PtSe (GGA-PBE)

Data for Co3PtSe after structural relaxation.

Summary:
Fermi-level density of states, states/eV per cell: 5.797
Total DFT energy (no corrections), eV per formula unit: -27.32
ΔE_f (raw), eV/atom: 0.70

Cell lengths 4.2796, 4.2796, 4.2796 Å; angles 90.00, 90.00, 90.00 degrees
Fractional positions:
Co: 0.0000 0.5000 0.0000
Co: 0.0000 0.0000 0.5000
Co: 0.5000 0.0000 0.0000
Se: 0.0000 0.0000 0.0000
Pt: 0.5000 0.5000 0.5000

***

Record 11
## CoPtSe2 (GGA-PBE)

Data for CoPtSe2 after structural relaxation.

Summary:
Fermi-level density of states, states/eV per cell: 3.336
Total DFT energy (no corrections), eV per formula unit: -20.51
ΔE_f (raw), eV/atom: -0.10

Cell lengths 3.4185, 3.7598, 6.5861 Å; angles 84.66, 90.00, 90.00 degrees
Fractional positions:
Co: 0.0000 0.2729 0.5662
Pt: 0.5000 0.7449 0.6844
Se: 0.0000 0.0093 0.8939
Se: 0.5000 0.4728 0.3555

***

Record 12
## CoPtSe2 (GGA-PBE)

Data for CoPtSe2 after structural relaxation.

Summary:
Fermi-level density of states, states/eV per cell: 4.133
Total DFT energy (no corrections), eV per formula unit: -19.80
ΔE_f (raw), eV/atom: 0.08

Cell lengths 3.5810, 3.5810, 6.3831 Å; angles 73.83, 73.83, 59.55 degrees
Fractional positions:
Co: 0.7500 0.7500 0.7500
Pt: 0.2500 0.2500 0.2500
Se: 0.0086 0.0086 0.9741
Se: 0.4914 0.4914 0.5259

***

Record 13
## CoPtSe2 (GGA-PBE)

Data for CoPtSe2 after structural relaxation.

Summary:
Fermi-level density of states, states/eV per cell: 2.685
Total DFT energy (no corrections), eV per formula unit: -20.27
ΔE_f (raw), eV/atom: -0.04

Cell lengths 3.3940, 3.3940, 6.5729 Å; angles 90.00, 90.00, 90.00 degrees
Fractional positions:
Co: 0.0000 0.0000 0.5138
Pt: 0.5000 0.5000 0.7400
Se: 0.0000 0.0000 0.8778
Se: 0.5000 0.5000 0.3684

***

Record 14
## CoSiPtSe2 (GGA-PBE)

Data for CoSiPtSe2 after structural relaxation.

Summary:
Fermi-level density of states, states/eV per cell: 5.240
Total DFT energy (no corrections), eV per formula unit: -21.00
ΔE_f (raw), eV/atom: 0.91

Cell lengths 4.7689, 4.2682, 4.7689 Å; angles 90.00, 90.00, 90.00 degrees
Fractional positions:
Si: 0.0000 0.0000 0.0000
Co: 0.0000 0.5000 0.0000
Se: 0.0000 0.0000 0.5000
Se: 0.5000 0.0000 0.0000
Pt: 0.5000 0.5000 0.5000

***

Record 15
## CoTePt2Se (GGA-PBE)

Data for CoTePt2Se after structural relaxation.

Summary:
Fermi-level density of states, states/eV per cell: 3.448
Total DFT energy (no corrections), eV per formula unit: -22.96
ΔE_f (raw), eV/atom: 0.57

Cell lengths 4.8760, 4.1649, 4.8760 Å; angles 90.00, 90.00, 90.00 degrees
Fractional positions:
Te: 0.5000 0.5000 0.5000
Co: 0.0000 0.0000 0.0000
Se: 0.0000 0.5000 0.0000
Pt: 0.0000 0.0000 0.5000
Pt: 0.5000 0.0000 0.0000

***

Record 16
## CoTePt2Se (GGA-PBE)

Data for CoTePt2Se after structural relaxation.

Summary:
Fermi-level density of states, states/eV per cell: 8.431
Total DFT energy (no corrections), eV per formula unit: -20.51
ΔE_f (raw), eV/atom: 1.06

Cell lengths 4.6046, 5.8261, 4.6046 Å; angles 90.00, 90.00, 90.00 degrees
Fractional positions:
Te: 0.0000 0.5000 0.0000
Co: 0.5000 0.5000 0.5000
Se: 0.0000 0.0000 0.0000
Pt: 0.0000 0.0000 0.5000
Pt: 0.5000 0.0000 0.0000

***

Record 17
## Th4CoPtSe2 (GGA-PBE)

Data for Th4CoPtSe2 after structural relaxation.

Summary:
Fermi-level density of states, states/eV per cell: 6.849
Total DFT energy (no corrections), eV per formula unit: -58.89
ΔE_f (raw), eV/atom: -1.14

Cell lengths 4.1983, 7.5680, 6.9912 Å; angles 73.18, 90.00, 90.00 degrees
Fractional positions:
Th: 0.0000 0.7187 0.7384
Th: 0.0000 0.2813 0.2616
Th: 0.5000 0.7184 0.2642
Th: 0.5000 0.2816 0.7358
Co: 0.0000 0.5000 0.5000
Pt: 0.5000 0.5000 0.0000
Se: 0.0000 0.0000 0.0000
Se: 0.5000 0.0000 0.5000

***

Record 18
## Co2SiPt (GGA-PBE)

Data for Co2SiPt after structural relaxation.

Summary:
Fermi-level density of states, states/eV per cell: 3.609
Total DFT energy (no corrections), eV per formula unit: -26.75
ΔE_f (raw), eV/atom: -0.27

Cell lengths 4.9288, 4.9288, 4.2074 Å; angles 64.81, 64.81, 32.59 degrees
Fractional positions:
Co: 0.0317 0.0317 0.9684
Co: 0.4683 0.4683 0.5316
Pt: 0.2500 0.2500 0.2500
Si: 0.7500 0.7500 0.7500

***

Record 19
## Co2SiPt (GGA-PBE)

Data for Co2SiPt after structural relaxation.

Summary:
Fermi-level density of states, states/eV per cell: 5.176
Total DFT energy (no corrections), eV per formula unit: -26.89
ΔE_f (raw), eV/atom: -0.30

Cell lengths 3.6273, 3.6273, 3.6425 Å; angles 90.00, 90.00, 90.00 degrees
Fractional positions:
Co: 0.0000 0.0000 0.0000
Co: 0.5000 0.5000 0.0000
Pt: 0.5000 0.0000 0.5000
Si: 0.0000 0.5000 0.5000

***

Record 20
## CoSiPt3 (GGA-PBE)

Data for CoSiPt3 after structural relaxation.

Summary:
Fermi-level density of states, states/eV per cell: 6.500
Total DFT energy (no corrections), eV per formula unit: -28.19
ΔE_f (raw), eV/atom: 0.49

Cell lengths 4.4909, 4.4909, 4.4909 Å; angles 90.00, 90.00, 90.00 degrees
Fractional positions:
Si: 0.0000 0.0000 0.0000
Co: 0.5000 0.5000 0.5000
Pt: 0.0000 0.5000 0.0000
Pt: 0.0000 0.0000 0.5000
Pt: 0.5000 0.0000 0.0000